First-principles (PBE-GGA) data for Ga2SnRh2 after structural relaxation, as listed in the Alexandria database.

Cell: 7.410 7.410 2.989 Å, 90.00 90.00 90.00°
Space group P4/mbm (No. 127)
Asymmetric unit:
Ga1 0.145 0.355 0.000 (multiplicity 4)
Sn1 0.000 0.000 0.500 (multiplicity 2)
Rh1 0.149 0.649 0.500 (multiplicity 4)

Energy of formation in meV/atom: -443
Crystal system: tetragonal
Magnetic moment in μB/f.u.: 0.000
E above lowest polymorph in meV per atom: 0.0